Entry 1:
{"formula": "LiFe2Pt9", "functional": "GGA-PBE", "state": "relaxed", "cell": [[3.9091, 0.0000, 0.0000], [0.0000, 3.9091, 0.0000], [0.0000, 0.0000, 11.6747]], "species": ["Li", "Fe", "Fe", "Pt", "Pt", "Pt", "Pt", "Pt", "Pt", "Pt", "Pt", "Pt"], "fractional_positions": [[0.0000, 0.0000, 0.0000], [0.0000, 0.0000, 0.3286], [0.0000, 0.0000, 0.6714], [0.5000, 0.5000, 0.0000], [0.5000, 0.5000, 0.3333], [0.5000, 0.5000, 0.6667], [0.5000, 0.0000, 0.1665], [0.5000, 0.0000, 0.5000], [0.5000, 0.0000, 0.8335], [0.0000, 0.5000, 0.1665], [0.0000, 0.5000, 0.5000], [0.0000, 0.5000, 0.8335]], "ef_ev_per_atom": -0.285, "final_energy_ev_per_atom": -6.386, "space_group": "No. 123"}

=====

Entry 2:
{"formula": "BaNpIn2Cl8", "functional": "GGA-PBE", "state": "relaxed", "cell": [[-0.6693, -6.4071, -2.4029], [6.1164, 1.1116, -3.7797], [4.8738, -3.1228, 6.9690]], "species": ["Ba", "Np", "In", "In", "Cl", "Cl", "Cl", "Cl", "Cl", "Cl", "Cl", "Cl"], "fractional_positions": [[0.0000, 0.0000, 0.5000], [0.0000, 0.0000, 0.0000], [0.5000, 0.5000, 0.7469], [0.5000, 0.5000, 0.2531], [0.1356, 0.7914, 0.2152], [0.6835, 0.8003, 0.0000], [0.8644, 0.2086, 0.2152], [0.8644, 0.2086, 0.7848], [0.3165, 0.1997, 0.0000], [0.1356, 0.7914, 0.7848], [0.6471, 0.7287, 0.5000], [0.3529, 0.2713, 0.5000]], "final_energy_ev_per_atom": -4.507, "space_group": "No. 10", "e_form_raw_ev_per_atom": -1.581}

=====

Entry 3:
{"formula": "MoAu3C", "functional": "GGA-PBE", "state": "relaxed", "cell": [[5.0633, 0.0000, 0.0000], [0.0000, 5.0633, 0.0000], [0.0000, 0.0000, 5.0633]], "species": ["Mo", "Au", "Au", "Au", "C"], "fractional_positions": [[0.0000, 0.0000, 0.0000], [0.0000, 0.5000, 0.0000], [0.0000, 0.0000, 0.5000], [0.5000, 0.0000, 0.0000], [0.5000, 0.5000, 0.5000]], "ef_ev_per_atom": 2.520, "final_energy_ev_per_atom": -3.457, "space_group": "No. 221"}

=====

| no. | calculated volume (Å³/atom) |
| --- | --- |
| 1 | 14.9 |
| 2 | 37.7 |
| 3 | 26.0 |